# La2HIr2 | the Alexandria database | GGA-PBE | optimized geometry
data_La2HIr2
_cell_length_a 7.7477
_cell_length_b 7.7477
_cell_length_c 3.7562
_cell_angle_alpha 90.00
_cell_angle_beta 90.00
_cell_angle_gamma 90.00
_space_group_name_H-M_alt 'P 1'
_space_group_IT_number 1
_space_group_name_Hall 'P 1'
loop_
_atom_site_label
_atom_site_type_symbol
_atom_site_fract_x
_atom_site_fract_y
_atom_site_fract_z
H1 H 0.0000 0.0000 0.0000
H2 H 0.5000 0.5000 0.0000
Ir1 Ir 0.3780 0.8780 0.0000
Ir2 Ir 0.8780 0.6220 0.0000
Ir3 Ir 0.6220 0.1220 0.0000
Ir4 Ir 0.1220 0.3780 0.0000
La1 La 0.1799 0.6799 0.5000
La2 La 0.6799 0.8201 0.5000
La3 La 0.8201 0.3201 0.5000
La4 La 0.3201 0.1799 0.5000
# * total energy: -62.847 eV per cell



# LaH5Ir | the Alexandria database | GGA-PBE | optimized geometry
data_LaH5Ir
_cell_length_a 4.6791
_cell_length_b 4.6791
_cell_length_c 8.0122
_cell_angle_alpha 64.67
_cell_angle_beta 64.67
_cell_angle_gamma 63.20
_space_group_name_H-M_alt 'P 1'
_space_group_IT_number 1
_space_group_name_Hall 'P 1'
loop_
_atom_site_label
_atom_site_type_symbol
_atom_site_fract_x
_atom_site_fract_y
_atom_site_fract_z
La1 La 0.5000 0.5000 0.7500
La2 La 0.5000 0.5000 0.2500
H1 H 0.4172 0.9169 0.9166
H2 H 0.4172 0.9170 0.4165
H3 H 0.9169 0.4172 0.4166
H4 H 0.0000 0.0000 0.7500
H5 H 0.0830 0.5828 0.0835
H6 H 0.9170 0.4172 0.9165
H7 H 0.0000 0.0000 0.2500
H8 H 0.0831 0.5828 0.5834
H9 H 0.5828 0.0830 0.5835
H10 H 0.5828 0.0831 0.0834
Ir1 Ir 0.0000 0.0000 0.0000
Ir2 Ir 0.0000 0.0000 0.5000
# * total energy: -68.514 eV per cell



# La2HIr | the Alexandria database | GGA-PBE | optimized geometry
data_La2HIr
_cell_length_a 4.0573
_cell_length_b 4.0573
_cell_length_c 7.3712
_cell_angle_alpha 74.03
_cell_angle_beta 74.03
_cell_angle_gamma 60.00
_space_group_name_H-M_alt 'P 1'
_space_group_IT_number 1
_space_group_name_Hall 'P 1'
loop_
_atom_site_label
_atom_site_type_symbol
_atom_site_fract_x
_atom_site_fract_y
_atom_site_fract_z
La1 La 0.0793 0.0793 0.7620
La2 La 0.2574 0.2574 0.2277
H1 H 0.4952 0.4952 0.5145
Ir1 Ir 0.6681 0.6681 0.9958
# * total energy: -24.119 eV per cell



# La8HIr5 | the Alexandria database | GGA-PBE | optimized geometry
data_La8HIr5
_cell_length_a 7.7837
_cell_length_b 7.7837
_cell_length_c 7.7837
_cell_angle_alpha 109.78
_cell_angle_beta 108.86
_cell_angle_gamma 109.78
_space_group_name_H-M_alt 'P 1'
_space_group_IT_number 1
_space_group_name_Hall 'P 1'
loop_
_atom_site_label
_atom_site_type_symbol
_atom_site_fract_x
_atom_site_fract_y
_atom_site_fract_z
La1 La 0.1299 0.7495 0.9901
La2 La 0.0099 0.1398 0.7594
La3 La 0.7219 0.2395 0.3574
La4 La 0.6426 0.3645 0.8821
La5 La 0.5176 0.6355 0.2781
La6 La 0.6196 0.8602 0.8701
La7 La 0.2406 0.2505 0.3804
La8 La 0.1179 0.7605 0.4824
H1 H 0.2500 0.5000 0.7500
Ir1 Ir 0.0098 0.3745 0.1288
Ir2 Ir 0.8712 0.8811 0.2457
Ir3 Ir 0.7543 0.6255 0.6354
Ir4 Ir 0.5000 0.0000 0.5000
Ir5 Ir 0.3646 0.1189 0.9902
# * total energy: -96.294 eV per cell



# La2HIr | the Alexandria database | GGA-PBE | optimized geometry
data_La2HIr
_cell_length_a 5.7364
_cell_length_b 5.7364
_cell_length_c 7.6933
_cell_angle_alpha 68.11
_cell_angle_beta 68.11
_cell_angle_gamma 90.00
_space_group_name_H-M_alt 'P 1'
_space_group_IT_number 1
_space_group_name_Hall 'P 1'
loop_
_atom_site_label
_atom_site_type_symbol
_atom_site_fract_x
_atom_site_fract_y
_atom_site_fract_z
H1 H 0.5000 0.5000 0.0000
H2 H 0.2500 0.7500 0.5000
Ir1 Ir 0.0000 0.0000 0.0000
Ir2 Ir 0.7500 0.2500 0.5000
La1 La 0.5876 0.1250 0.2500
La2 La 0.1624 0.6250 0.2500
La3 La 0.3750 0.4124 0.7500
La4 La 0.8750 0.8376 0.7500
# * total energy: -46.640 eV per cell



# LaHIr2 | the Alexandria database | GGA-PBE | optimized geometry
data_LaHIr2
_cell_length_a 4.5927
_cell_length_b 4.5927
_cell_length_c 4.5927
_cell_angle_alpha 60.00
_cell_angle_beta 60.00
_cell_angle_gamma 60.00
_space_group_name_H-M_alt 'P 1'
_space_group_IT_number 1
_space_group_name_Hall 'P 1'
loop_
_atom_site_label
_atom_site_type_symbol
_atom_site_fract_x
_atom_site_fract_y
_atom_site_fract_z
H1 H 0.0000 0.0000 0.0000
Ir1 Ir 0.2500 0.2500 0.2500
Ir2 Ir 0.7500 0.7500 0.7500
La1 La 0.5000 0.5000 0.5000
# * total energy: -23.162 eV per cell



# LaH2Ir2 | the Alexandria database | GGA-PBE | optimized geometry
data_LaH2Ir2
_cell_length_a 3.8452
_cell_length_b 3.8452
_cell_length_c 5.6036
_cell_angle_alpha 69.93
_cell_angle_beta 69.93
_cell_angle_gamma 90.00
_space_group_name_H-M_alt 'P 1'
_space_group_IT_number 1
_space_group_name_Hall 'P 1'
loop_
_atom_site_label
_atom_site_type_symbol
_atom_site_fract_x
_atom_site_fract_y
_atom_site_fract_z
H1 H 0.7500 0.2500 0.5000
H2 H 0.2500 0.7500 0.5000
Ir1 Ir 0.2807 0.2807 0.4385
Ir2 Ir 0.7193 0.7193 0.5615
La1 La 0.0000 0.0000 0.0000
# * total energy: -30.032 eV per cell



# LaHIr2 | the Alexandria database | GGA-PBE | optimized geometry
data_LaHIr2
_cell_length_a 5.6759
_cell_length_b 5.6759
_cell_length_c 5.6707
_cell_angle_alpha 59.97
_cell_angle_beta 59.97
_cell_angle_gamma 90.00
_space_group_name_H-M_alt 'P 1'
_space_group_IT_number 1
_space_group_name_Hall 'P 1'
loop_
_atom_site_label
_atom_site_type_symbol
_atom_site_fract_x
_atom_site_fract_y
_atom_site_fract_z
H1 H 0.5000 0.5000 0.0000
H2 H 0.2500 0.7500 0.5000
Ir1 Ir 0.3770 0.1250 0.2500
Ir2 Ir 0.3730 0.6250 0.2500
Ir3 Ir 0.3750 0.6230 0.7500
Ir4 Ir 0.8750 0.6270 0.7500
La1 La 0.0000 0.0000 0.0000
La2 La 0.7500 0.2500 0.5000
# * total energy: -54.856 eV per cell



# La2HIr | the Alexandria database | GGA-PBE | optimized geometry
data_La2HIr
_cell_length_a 4.9544
_cell_length_b 4.9544
_cell_length_c 4.9544
_cell_angle_alpha 60.00
_cell_angle_beta 60.00
_cell_angle_gamma 60.00
_space_group_name_H-M_alt 'P 1'
_space_group_IT_number 1
_space_group_name_Hall 'P 1'
loop_
_atom_site_label
_atom_site_type_symbol
_atom_site_fract_x
_atom_site_fract_y
_atom_site_fract_z
H1 H 0.0000 0.0000 0.0000
Ir1 Ir 0.5000 0.5000 0.5000
La1 La 0.2500 0.2500 0.2500
La2 La 0.7500 0.7500 0.7500
# * total energy: -23.735 eV per cell



# La6HIr3 | the Alexandria database | GGA-PBE | optimized geometry
data_La6HIr3
_cell_length_a 6.9536
_cell_length_b 7.4853
_cell_length_c 10.5267
_cell_angle_alpha 90.00
_cell_angle_beta 93.69
_cell_angle_gamma 90.00
_space_group_name_H-M_alt 'P 1'
_space_group_IT_number 1
_space_group_name_Hall 'P 1'
loop_
_atom_site_label
_atom_site_type_symbol
_atom_site_fract_x
_atom_site_fract_y
_atom_site_fract_z
La1 La 0.6822 0.1766 0.9163
La2 La 0.6690 0.1814 0.5663
La3 La 0.6654 0.4434 0.2516
La4 La 0.3346 0.5566 0.7484
La5 La 0.3310 0.8186 0.4337
La6 La 0.3178 0.8234 0.0837
La7 La 0.1822 0.3234 0.4163
La8 La 0.1690 0.3186 0.0663
La9 La 0.1654 0.0566 0.7516
La10 La 0.8346 0.9434 0.2484
La11 La 0.8310 0.6814 0.9337
La12 La 0.8178 0.6766 0.5837
H1 H 0.5000 0.5000 0.5000
H2 H 0.0000 0.0000 0.0000
Ir1 Ir 0.5472 0.8876 0.7217
Ir2 Ir 0.5000 0.5000 0.0000
Ir3 Ir 0.4528 0.1124 0.2783
Ir4 Ir 0.0472 0.6124 0.2217
Ir5 Ir 0.0000 0.0000 0.5000
Ir6 Ir 0.9528 0.3876 0.7783
# * total energy: -131.182 eV per cell



# LiLa2HIr | the Alexandria database | GGA-PBE | optimized geometry
data_LiLa2HIr
_cell_length_a 5.2474
_cell_length_b 5.2474
_cell_length_c 3.7348
_cell_angle_alpha 90.00
_cell_angle_beta 90.00
_cell_angle_gamma 90.00
_space_group_name_H-M_alt 'P 1'
_space_group_IT_number 1
_space_group_name_Hall 'P 1'
loop_
_atom_site_label
_atom_site_type_symbol
_atom_site_fract_x
_atom_site_fract_y
_atom_site_fract_z
H1 H 0.0000 0.0000 0.0000
Ir1 Ir 0.0000 0.0000 0.5000
Li1 Li 0.5000 0.5000 0.5000
La1 La 0.0000 0.5000 0.0000
La2 La 0.5000 0.0000 0.0000
# * total energy: -25.731 eV per cell



# LiLa2HIr | the Alexandria database | GGA-PBE | optimized geometry
data_LiLa2HIr
_cell_length_a 5.0673
_cell_length_b 5.0673
_cell_length_c 3.8141
_cell_angle_alpha 90.00
_cell_angle_beta 90.00
_cell_angle_gamma 90.00
_space_group_name_H-M_alt 'P 1'
_space_group_IT_number 1
_space_group_name_Hall 'P 1'
loop_
_atom_site_label
_atom_site_type_symbol
_atom_site_fract_x
_atom_site_fract_y
_atom_site_fract_z
H1 H 0.0000 0.0000 0.0000
Ir1 Ir 0.5000 0.5000 0.5000
Li1 Li 0.0000 0.0000 0.5000
La1 La 0.0000 0.5000 0.0000
La2 La 0.5000 0.0000 0.0000
# * total energy: -26.200 eV per cell